Record 1
Material: PmDy2Re
Method: DFT, PBE
State: optimized geometry

```
PmDy2Re
1.0
3.246 0.000 0.000
1.623 2.811 0.000
1.623 0.937 11.420
Re Pm Dy
1 1 2
Cartesian
0.000 0.000 0.000
3.246 1.874 5.710
1.623 0.937 8.747
4.869 2.811 2.673
```

Record 2
Material: PmDy2Re9
Method: DFT, PBE
State: optimized geometry

```
PmDy2Re9
1.0
-4.022 3.425 1.046
-4.439 -0.048 -3.048
-6.469 -4.810 4.740
Pm Dy Re
1 2 9
Cartesian
0.000 0.000 0.000
-10.039 0.810 0.337
-4.891 -2.243 2.402
-5.677 2.192 -1.280
-9.253 -3.625 4.019
-7.465 -0.716 1.369
-5.116 0.176 0.373
-7.178 1.931 0.909
-7.392 0.151 -1.189
-9.813 -1.608 2.365
-7.538 -1.584 3.928
-7.752 -3.364 1.829
```

Record 3
Material: Pm3DyRh
Method: DFT, PBE
State: optimized geometry

```
Pm3DyRh
1.0
5.536 0.000 0.000
0.000 5.536 0.000
0.000 0.000 5.536
Pm Rh Dy
3 1 1
Cartesian
0.000 2.768 0.000
0.000 0.000 2.768
2.768 0.000 0.000
0.000 0.000 0.000
2.768 2.768 2.768
```

Record 4
Material: Pm2DyRh3
Method: DFT, PBE
State: optimized geometry

```
Pm2DyRh3
1.0
-2.353 2.459 -0.714
-2.421 -1.822 1.706
2.521 4.998 8.916
Pm Dy Rh
2 1 3
Cartesian
-0.293 4.471 7.903
-1.960 1.165 2.005
-1.127 2.818 4.954
0.000 0.000 0.000
1.661 3.293 5.874
0.860 1.705 3.042
```

Values of DFT formation energy, in order: 805; -37; -121; -742, all in meV/atom.
Values of electronic total energy, in order: -23.2; -126.4; -26.8; -40.6, all in eV for the cell shown.